! AcPr2Sm3S6, optimized geometry, DFT PBE-GGA; values from VASP
&SYSTEM
  ibrav = 0, nat = 12, ntyp = 4
/
ATOMIC_SPECIES
S 32.06 S.upf
Sm 150.36 Sm.upf
Pr 140.91 Pr.upf
Ac 227.00 Ac.upf
CELL_PARAMETERS angstrom
-3.958 4.569 3.677
3.095 -5.458 3.271
5.722 4.073 -1.170
ATOMIC_POSITIONS angstrom
S 0.093 2.539 1.548
S 2.478 -0.851 1.410
S 4.009 2.784 0.883
S 2.381 4.035 4.367
S 4.766 0.644 4.230
S 0.850 0.399 4.894
Sm 2.429 1.592 2.889
Sm 4.785 -1.756 2.753
Sm 0.074 4.940 3.025
Pr 0.750 -2.124 3.406
Pr -1.613 1.235 3.542
Ac 0.000 0.000 0.000
! DOS at the Fermi energy: 5.621 states/eV per cell
! space-group type: C2/m, No. 12
! formation energy (no corrections): -194.50 kJ per mole of atoms